Entry from the Alexandria database: a relaxed structure of La6Hg5C (PBE).

Cell and atoms, written as POSCAR:
```
La6Hg5C
1.0
-1.257 5.059 -0.852
-1.213 -2.060 -7.664
-6.228 -3.083 5.865
Hg C La
5 1 6
Direct
0.665 0.665 0.330 Hg
0.700 0.200 0.401 Hg
0.335 0.335 0.670 Hg
0.300 0.800 0.599 Hg
0.000 0.500 0.000 Hg
0.000 0.000 0.000 C
0.130 0.360 0.286 La
0.156 0.926 0.286 La
0.409 0.197 0.000 La
0.844 0.074 0.714 La
0.591 0.803 0.000 La
0.870 0.640 0.714 La
```

Calculated values
Symmetry ... No. 12
Energy relative to the elements ... -0.29 eV per atom


Entry from the Alexandria database: a relaxed structure of LaHgC2 (PBE).

Cell and atoms, written as POSCAR:
```
LaHgC2
1.0
-1.639 2.422 3.818
2.039 -3.229 2.924
5.790 3.219 3.473
La C Hg
2 4 2
Direct
0.500 0.500 0.000 La
0.250 0.750 0.500 La
0.684 0.125 0.250 C
0.375 0.316 0.750 C
0.875 0.934 0.750 C
0.066 0.625 0.250 C
0.000 0.000 0.000 Hg
0.750 0.250 0.500 Hg
```

Calculated values
Symmetry ... No. 122
Energy relative to the elements ... 1.31 eV per atom


Entry from the Alexandria database: a relaxed structure of La8Hg2C3 (PBE).

Cell and atoms, written as POSCAR:
```
La8Hg2C3
1.0
0.694 6.619 -1.387
-3.883 -0.917 -6.317
-4.717 -0.162 7.342
La C Hg
8 3 2
Direct
0.031 0.391 0.781 La
0.107 0.901 0.801 La
0.969 0.609 0.219 La
0.616 0.667 0.820 La
0.384 0.333 0.180 La
0.384 0.847 0.180 La
0.893 0.099 0.199 La
0.616 0.153 0.820 La
0.000 0.746 0.000 C
0.000 0.254 0.000 C
0.500 0.000 0.000 C
0.672 0.742 0.485 Hg
0.328 0.258 0.515 Hg
```

Calculated values
Symmetry ... No. 12
Energy relative to the elements ... -0.15 eV per atom


Entry from the Alexandria database: a relaxed structure of La4Hg2C (PBE).

Cell and atoms, written as POSCAR:
```
La4Hg2C
1.0
-3.969 1.824 2.949
-2.951 -4.130 -1.417
-0.794 -5.133 6.816
C La Hg
1 4 2
Direct
0.000 0.000 0.000 C
0.500 0.000 0.000 La
0.000 0.500 0.000 La
0.834 0.834 0.333 La
0.166 0.166 0.667 La
0.629 0.629 0.741 Hg
0.371 0.371 0.259 Hg
```

Calculated values
Symmetry ... No. 139
Energy relative to the elements ... -0.30 eV per atom


Entry from the Alexandria database: a relaxed structure of LaHgC3 (PBE).

Cell and atoms, written as POSCAR:
```
LaHgC3
1.0
-2.702 2.551 -2.785
-3.549 -0.542 2.945
1.293 3.842 2.265
La C Hg
1 3 1
Direct
0.000 0.000 0.000 La
0.500 0.000 0.000 C
0.000 0.000 0.500 C
0.000 0.500 0.000 C
0.500 0.500 0.500 Hg
```

Calculated values
Symmetry ... No. 221
Energy relative to the elements ... 2.83 eV per atom


Entry from the Alexandria database: a relaxed structure of La3HgC (PBE).

Cell and atoms, written as POSCAR:
```
La3HgC
1.0
3.826 0.000 0.000
0.000 9.103 0.000
0.000 0.000 15.855
C La Hg
4 12 4
Direct
0.250 0.153 0.946 C
0.750 0.347 0.446 C
0.750 0.847 0.054 C
0.250 0.653 0.554 C
0.750 0.217 0.304 La
0.750 0.326 0.999 La
0.750 0.717 0.196 La
0.250 0.174 0.499 La
0.750 0.970 0.903 La
0.750 0.470 0.597 La
0.250 0.283 0.804 La
0.250 0.783 0.696 La
0.250 0.030 0.097 La
0.750 0.826 0.501 La
0.250 0.530 0.403 La
0.250 0.674 0.001 La
0.250 0.414 0.171 Hg
0.750 0.086 0.671 Hg
0.250 0.914 0.329 Hg
0.750 0.586 0.829 Hg
```

Calculated values
Symmetry ... No. 62
Energy relative to the elements ... -0.28 eV per atom